Record 1
Compound: ZrIr2Se
Source: Alexandria
Functional: PBE-GGA
Structure: relaxed

Energy = -7.903 eV/atom
Magnetization = 0.00 μB per cell
Calculated volume = 17.184 A^3/atom

a = 4.9775 Å, b = 5.1150 Å, c = 5.8052 Å
α = 85.83°, β = 87.18°, γ = 68.89°
Closest atoms and distances in Å follow each position.
Space group P1 (No. 1)
Inequivalent atoms, fractional coordinates:
Zr 0.0000 0.0000 0.0000  6 Ir 2.80-3.08, 3 Se 2.83-2.89
Zr 0.4323 0.6327 0.4917  8 Ir 2.72-3.04, 3 Se 2.76-2.82
Ir 0.4494 0.1273 0.7423  1 Se 2.54, 2 Ir 2.69-2.72
Ir 0.4743 0.1277 0.2784  2 Se 2.59-2.63, 2 Ir 2.69-2.77, 3 Zr 2.81-2.90
Ir 0.9215 0.5968 0.7317  2 Se 2.52-2.55, 2 Zr 2.81-2.82
Ir 0.9507 0.1022 0.5199  1 Se 2.55, 4 Ir 2.72-2.85, 2 Zr 2.72-2.80
Se 0.5154 0.5056 0.9698  3 Ir 2.54-2.59, 2 Zr 2.82-2.83
Se 0.9752 0.5432 0.3012  3 Ir 2.52-2.63, 2 Zr 2.76-2.77

---

Record 2
Compound: KHgPt
Source: Alexandria
Functional: PBE-GGA
Structure: relaxed

Formation enthalpy at 0 K = -0.196 eV per atom
ΔE to the lowest computed polymorph = 0 meV per atom
Energy = -2.676 eV/atom
Magnetization = 0.00 μB per cell
Calculated volume = 23.694 A^3/atom

a = 5.7686 Å, b = 6.2509 Å, c = 7.8850 Å
α = 90.00°, β = 90.00°, γ = 90.00°
Closest atoms and distances in Å follow each position.
Space group Imma (No. 74)
Inequivalent atoms, fractional coordinates:
K 0.0000 0.2500 0.1157  6 Pt 3.22-3.60, 6 Hg 3.40-3.41, 2 K 3.58
Hg 0.0000 0.0000 0.5000  4 Pt 2.90, 2 Hg 3.13
Pt 0.2500 0.2500 0.7500  2 Pt 2.88, 4 Hg 2.90, 2 K 3.22

---

Record 3
Compound: HoMg2PaS6
Source: Alexandria
Functional: PBE-GGA
Structure: relaxed

Energy = -5.793 eV/atom
Magnetization = 0.00 μB per cell
Calculated volume = 23.189 A^3/atom

a = 6.6527 Å, b = 6.6527 Å, c = 18.1496 Å
α = 90.00°, β = 90.00°, γ = 120.00°
Closest atoms and distances in Å follow each position.
Space group R3 (No. 146, hexagonal axes)
Inequivalent atoms, fractional coordinates:
Ho 0.0000 0.0000 0.0000  6 S 2.70-2.75
Mg 0.0000 0.0000 0.3010  6 S 2.57-2.73
Mg 0.0000 0.0000 0.8058  6 S 2.58-2.70
Pa 0.0000 0.0000 0.4952  6 S 2.65-2.66
S 0.0046 0.6901 0.9008  2 Mg 2.57-2.70, 1 Pa 2.66, 1 Ho 2.75
S 0.0170 0.3136 0.4014  2 Mg 2.58-2.73, 1 Pa 2.65, 1 Ho 2.70

---

Record 4
Compound: Br2Cl
Source: Alexandria
Functional: PBE-GGA
Structure: relaxed

ΔE to the lowest computed polymorph = 477 meV per atom
Energy = -1.209 eV/atom
Magnetization = 0.00 μB per cell
Calculated volume = 27.643 A^3/atom

a = 4.3264 Å, b = 4.3264 Å, c = 5.1159 Å
α = 90.00°, β = 90.00°, γ = 120.00°
Closest atoms and distances in Å follow each position.
Space group P-3m1 (No. 164)
Inequivalent atoms, fractional coordinates:
Br 0.3333 0.6667 0.3366  3 Br 3.01, 3 Cl 3.03
Cl 0.0000 0.0000 0.0000  6 Br 3.03

---

Record 5
Compound: ZrZn2Bi
Source: Alexandria
Functional: PBE-GGA
Structure: relaxed

Formation enthalpy at 0 K = -0.091 eV per atom
Energy = -3.835 eV/atom
Magnetization = 0.00 μB per cell
Calculated volume = 20.309 A^3/atom

a = 4.3469 Å, b = 4.3469 Å, c = 4.2992 Å
α = 90.00°, β = 90.00°, γ = 90.00°
Closest atoms and distances in Å follow each position.
Space group P4/mmm (No. 123)
Inequivalent atoms, fractional coordinates:
Zr 0.0000 0.0000 0.0000  8 Zn 3.06, 4 Bi 3.07
Zn 0.0000 0.5000 0.5000  4 Zr 3.06, 4 Bi 3.06, 4 Zn 3.07
Bi 0.5000 0.5000 0.0000  8 Zn 3.06, 4 Zr 3.07

---

Record 6
Compound: In3SeO
Source: Alexandria
Functional: PBE-GGA
Structure: relaxed

ΔE to the lowest computed polymorph = 0 meV per atom
Energy = -3.618 eV/atom
Magnetization = 0.00 μB per cell
Calculated volume = 23.884 A^3/atom

a = 4.9244 Å, b = 4.9244 Å, c = 4.9244 Å
α = 90.00°, β = 90.00°, γ = 90.00°
Closest atoms and distances in Å follow each position.
Space group Pm-3m (No. 221)
Inequivalent atoms, fractional coordinates:
In 0.0000 0.0000 0.5000  2 O 2.46
Se 0.5000 0.5000 0.5000  12 In 3.48
O 0.0000 0.0000 0.0000  6 In 2.46

---

Record 7
Compound: YCdTc2Ru
Source: Alexandria
Functional: PBE-GGA
Structure: relaxed

Formation enthalpy at 0 K = 1.745 eV per atom
Energy = -5.732 eV/atom
Magnetization = 4.02 μB per cell
Calculated volume = 23.330 A^3/atom

a = 4.8887 Å, b = 4.8887 Å, c = 4.8808 Å
α = 90.00°, β = 90.00°, γ = 90.00°
Closest atoms and distances in Å follow each position.
Space group P4/mmm (No. 123)
Inequivalent atoms, fractional coordinates:
Y 0.0000 0.0000 0.0000  8 Tc 3.45, 4 Ru 3.46
Cd 0.5000 0.5000 0.5000  2 Ru 2.44, 4 Tc 2.44
Tc 0.0000 0.5000 0.5000  2 Cd 2.44
Ru 0.5000 0.5000 0.0000  2 Cd 2.44

---

Record 8
Compound: Sr2BeBr
Source: Alexandria
Functional: PBE-GGA
Structure: relaxed

ΔE to the lowest computed polymorph = 276 meV per atom
Energy = -2.389 eV/atom
Magnetization = 0.00 μB per cell
Calculated volume = 33.842 A^3/atom

a = 4.4743 Å, b = 4.4743 Å, c = 13.5239 Å
α = 90.00°, β = 90.00°, γ = 90.00°
Closest atoms and distances in Å follow each position.
Space group I-4m2 (No. 119)
Inequivalent atoms, fractional coordinates:
Sr 0.0000 0.0000 0.0000  4 Br 3.16
Sr 0.0000 0.5000 0.2500  4 Be 3.16
Be 0.0000 0.5000 0.7500  4 Sr 3.16
Br 0.0000 0.0000 0.5000  4 Sr 3.16